# 1
# PBE Pr2GdMg3Cd3, optimized geometry
data_Pr2GdMg3Cd3
_space_group_name_H-M_alt 'P 1'
_space_group_IT_number 1
_cell_length_a 4.843
_cell_length_b 7.517
_cell_length_c 7.517
_cell_angle_alpha 119.88
_cell_angle_beta 90.00
_cell_angle_gamma 90.00
loop_
_space_group_symop_operation_xyz
'x,y,z'
loop_
_atom_site_label
_atom_site_type_symbol
_atom_site_fract_x
_atom_site_fract_y
_atom_site_fract_z
Pr1 Pr 0.000 0.211 0.789
Pr2 Pr 0.000 0.789 0.211
Gd1 Gd 0.000 0.360 0.360
Mg1 Mg 0.500 0.023 0.023
Mg2 Mg 0.500 0.548 0.785
Mg3 Mg 0.500 0.785 0.548
Cd1 Cd 0.000 0.780 0.780
Cd2 Cd 0.500 0.124 0.452
Cd3 Cd 0.500 0.452 0.124
# E: -2.66 eV per atom
# symmetry: Amm2, No. 38

***

# 2
# PBE PrGd2Mg3Tl2Cd, optimized geometry
data_PrGd2Mg3Tl2Cd
_space_group_name_H-M_alt 'P 1'
_space_group_IT_number 1
_cell_length_a 4.693
_cell_length_b 7.668
_cell_length_c 7.668
_cell_angle_alpha 120.66
_cell_angle_beta 90.00
_cell_angle_gamma 90.00
loop_
_space_group_symop_operation_xyz
'x,y,z'
loop_
_atom_site_label
_atom_site_type_symbol
_atom_site_fract_x
_atom_site_fract_y
_atom_site_fract_z
Pr1 Pr 0.000 0.000 0.000
Gd1 Gd 0.000 0.423 0.846
Gd2 Gd 0.000 0.846 0.423
Mg1 Mg 0.500 0.186 0.425
Mg2 Mg 0.500 0.425 0.186
Mg3 Mg 0.500 0.664 0.664
Tl1 Tl 0.500 0.092 0.753
Tl2 Tl 0.500 0.753 0.092
Cd1 Cd 0.000 0.432 0.432
# E: -3.05 eV per atom
# symmetry: Amm2, No. 38

***

# 3
# PBE Pr2GdMg3Zn2Cd, optimized geometry
data_Pr2GdMg3Zn2Cd
_space_group_name_H-M_alt 'P 1'
_space_group_IT_number 1
_cell_length_a 4.722
_cell_length_b 7.402
_cell_length_c 7.402
_cell_angle_alpha 120.17
_cell_angle_beta 90.00
_cell_angle_gamma 90.00
loop_
_space_group_symop_operation_xyz
'x,y,z'
loop_
_atom_site_label
_atom_site_type_symbol
_atom_site_fract_x
_atom_site_fract_y
_atom_site_fract_z
Pr1 Pr 0.000 0.213 0.787
Pr2 Pr 0.000 0.787 0.213
Gd1 Gd 0.000 0.353 0.353
Mg1 Mg 0.500 0.029 0.029
Mg2 Mg 0.500 0.539 0.781
Mg3 Mg 0.500 0.781 0.539
Zn1 Zn 0.500 0.121 0.449
Zn2 Zn 0.500 0.449 0.121
Cd1 Cd 0.000 0.778 0.778
# E: -2.74 eV per atom
# symmetry: Amm2, No. 38

***

# 4
# PBE PrGd2Mg3Zn2Cd, optimized geometry
data_PrGd2Mg3Zn2Cd
_space_group_name_H-M_alt 'P 1'
_space_group_IT_number 1
_cell_length_a 4.691
_cell_length_b 7.340
_cell_length_c 7.340
_cell_angle_alpha 120.01
_cell_angle_beta 90.00
_cell_angle_gamma 90.00
loop_
_space_group_symop_operation_xyz
'x,y,z'
loop_
_atom_site_label
_atom_site_type_symbol
_atom_site_fract_x
_atom_site_fract_y
_atom_site_fract_z
Pr1 Pr 0.000 0.000 0.000
Gd1 Gd 0.000 0.144 0.575
Gd2 Gd 0.000 0.575 0.144
Mg1 Mg 0.500 0.327 0.327
Mg2 Mg 0.500 0.570 0.817
Mg3 Mg 0.500 0.817 0.570
Zn1 Zn 0.500 0.243 0.905
Zn2 Zn 0.500 0.905 0.243
Cd1 Cd 0.000 0.566 0.566
# E: -2.73 eV per atom
# symmetry: Amm2, No. 38

***

# 5
# PBE Gd3Mg3Cd2Pt, optimized geometry
data_Gd3Mg3Cd2Pt
_space_group_name_H-M_alt 'P 1'
_space_group_IT_number 1
_cell_length_a 7.613
_cell_length_b 7.613
_cell_length_c 4.392
_cell_angle_alpha 90.00
_cell_angle_beta 90.00
_cell_angle_gamma 120.00
loop_
_space_group_symop_operation_xyz
'x,y,z'
loop_
_atom_site_label
_atom_site_type_symbol
_atom_site_fract_x
_atom_site_fract_y
_atom_site_fract_z
Gd1 Gd 0.000 0.395 0.000
Gd2 Gd 0.395 0.000 0.000
Gd3 Gd 0.605 0.605 0.000
Mg1 Mg 0.000 0.769 0.500
Mg2 Mg 0.231 0.231 0.500
Mg3 Mg 0.769 0.000 0.500
Cd1 Cd 0.333 0.667 0.500
Cd2 Cd 0.667 0.333 0.500
Pt1 Pt 0.000 0.000 0.000
# E: -3.40 eV per atom
# symmetry: P-62m, No. 189

***

# 6
# PBE Sm2GdMg3Tl2Cd, optimized geometry
data_Sm2GdMg3Tl2Cd
_space_group_name_H-M_alt 'P 1'
_space_group_IT_number 1
_cell_length_a 4.686
_cell_length_b 7.621
_cell_length_c 7.621
_cell_angle_alpha 119.67
_cell_angle_beta 90.00
_cell_angle_gamma 90.00
loop_
_space_group_symop_operation_xyz
'x,y,z'
loop_
_atom_site_label
_atom_site_type_symbol
_atom_site_fract_x
_atom_site_fract_y
_atom_site_fract_z
Sm1 Sm 0.000 0.212 0.788
Sm2 Sm 0.000 0.788 0.212
Gd1 Gd 0.000 0.635 0.635
Mg1 Mg 0.500 0.212 0.452
Mg2 Mg 0.500 0.452 0.212
Mg3 Mg 0.500 0.974 0.974
Tl1 Tl 0.500 0.546 0.877
Tl2 Tl 0.500 0.877 0.546
Cd1 Cd 0.000 0.216 0.216
# E: -3.05 eV per atom
# symmetry: Amm2, No. 38

***

# 7
# PBE SmGd2Mg3Tl2Cd, optimized geometry
data_SmGd2Mg3Tl2Cd
_space_group_name_H-M_alt 'P 1'
_space_group_IT_number 1
_cell_length_a 4.670
_cell_length_b 7.626
_cell_length_c 7.626
_cell_angle_alpha 120.35
_cell_angle_beta 90.00
_cell_angle_gamma 90.00
loop_
_space_group_symop_operation_xyz
'x,y,z'
loop_
_atom_site_label
_atom_site_type_symbol
_atom_site_fract_x
_atom_site_fract_y
_atom_site_fract_z
Sm1 Sm 0.000 0.000 0.000
Gd1 Gd 0.000 0.423 0.848
Gd2 Gd 0.000 0.848 0.423
Mg1 Mg 0.500 0.185 0.424
Mg2 Mg 0.500 0.424 0.185
Mg3 Mg 0.500 0.665 0.665
Tl1 Tl 0.500 0.091 0.756
Tl2 Tl 0.500 0.756 0.091
Cd1 Cd 0.000 0.428 0.428
# E: -3.04 eV per atom
# symmetry: Amm2, No. 38

***

# 8
# PBE Gd3Mg3Tl2Cd, optimized geometry
data_Gd3Mg3Tl2Cd
_space_group_name_H-M_alt 'P 1'
_space_group_IT_number 1
_cell_length_a 7.595
_cell_length_b 7.595
_cell_length_c 4.650
_cell_angle_alpha 90.00
_cell_angle_beta 90.00
_cell_angle_gamma 120.00
loop_
_space_group_symop_operation_xyz
'x,y,z'
loop_
_atom_site_label
_atom_site_type_symbol
_atom_site_fract_x
_atom_site_fract_y
_atom_site_fract_z
Gd1 Gd 0.000 0.424 0.000
Gd2 Gd 0.424 0.000 0.000
Gd3 Gd 0.576 0.576 0.000
Mg1 Mg 0.000 0.760 0.500
Mg2 Mg 0.240 0.240 0.500
Mg3 Mg 0.760 0.000 0.500
Tl1 Tl 0.333 0.667 0.500
Tl2 Tl 0.667 0.333 0.500
Cd1 Cd 0.000 0.000 0.000
# E: -3.03 eV per atom
# symmetry: P-62m, No. 189

***

# 9
# PBE Gd3Mg3TlCd2, optimized geometry
data_Gd3Mg3TlCd2
_space_group_name_H-M_alt 'P 1'
_space_group_IT_number 1
_cell_length_a 7.523
_cell_length_b 7.523
_cell_length_c 4.723
_cell_angle_alpha 90.00
_cell_angle_beta 90.00
_cell_angle_gamma 120.00
loop_
_space_group_symop_operation_xyz
'x,y,z'
loop_
_atom_site_label
_atom_site_type_symbol
_atom_site_fract_x
_atom_site_fract_y
_atom_site_fract_z
Gd1 Gd 0.000 0.425 0.000
Gd2 Gd 0.425 0.000 0.000
Gd3 Gd 0.575 0.575 0.000
Mg1 Mg 0.000 0.755 0.500
Mg2 Mg 0.245 0.245 0.500
Mg3 Mg 0.755 0.000 0.500
Tl1 Tl 0.000 0.000 0.000
Cd1 Cd 0.333 0.667 0.500
Cd2 Cd 0.667 0.333 0.500
# E: -2.79 eV per atom
# symmetry: P-62m, No. 189

***

# 10
# PBE Gd2TmMg3Tl2Cd, optimized geometry
data_Gd2TmMg3Tl2Cd
_space_group_name_H-M_alt 'P 1'
_space_group_IT_number 1
_cell_length_a 4.629
_cell_length_b 7.537
_cell_length_c 7.537
_cell_angle_alpha 119.45
_cell_angle_beta 90.00
_cell_angle_gamma 90.00
loop_
_space_group_symop_operation_xyz
'x,y,z'
loop_
_atom_site_label
_atom_site_type_symbol
_atom_site_fract_x
_atom_site_fract_y
_atom_site_fract_z
Gd1 Gd 0.000 0.213 0.787
Gd2 Gd 0.000 0.787 0.213
Tm1 Tm 0.000 0.361 0.361
Mg1 Mg 0.500 0.024 0.024
Mg2 Mg 0.500 0.546 0.786
Mg3 Mg 0.500 0.786 0.546
Tl1 Tl 0.500 0.122 0.452
Tl2 Tl 0.500 0.452 0.122
Cd1 Cd 0.000 0.781 0.781
# E: -3.00 eV per atom
# symmetry: Amm2, No. 38

***

# 11
# PBE GdTm2Mg3Tl2Cd, optimized geometry
data_GdTm2Mg3Tl2Cd
_space_group_name_H-M_alt 'P 1'
_space_group_IT_number 1
_cell_length_a 4.605
_cell_length_b 7.543
_cell_length_c 7.543
_cell_angle_alpha 120.52
_cell_angle_beta 90.00
_cell_angle_gamma 90.00
loop_
_space_group_symop_operation_xyz
'x,y,z'
loop_
_atom_site_label
_atom_site_type_symbol
_atom_site_fract_x
_atom_site_fract_y
_atom_site_fract_z
Gd1 Gd 0.000 0.000 0.000
Tm1 Tm 0.000 0.145 0.572
Tm2 Tm 0.000 0.572 0.145
Mg1 Mg 0.500 0.331 0.331
Mg2 Mg 0.500 0.571 0.811
Mg3 Mg 0.500 0.811 0.571
Tl1 Tl 0.500 0.241 0.904
Tl2 Tl 0.500 0.904 0.241
Cd1 Cd 0.000 0.566 0.566
# E: -2.96 eV per atom
# symmetry: Amm2, No. 38